A geometry-optimized GdHoSnPd structure, computed with PBE.

Lattice parameters (Å, degrees): 7.3127 7.3127 7.3127 90.00 90.00 90.00
With the nearest neighbours (Å) after each atom.
Space group F-43m (No. 216)
Inequivalent atoms, fractional coordinates:
Gd 0.0000 0.0000 0.0000 (multiplicity 4)  4 Sn 3.17, 4 Pd 3.17
Ho 0.0000 0.0000 0.5000 (multiplicity 4)  4 Sn 3.17, 4 Pd 3.17
Sn 0.2500 0.2500 0.7500 (multiplicity 4)  4 Gd 3.17, 4 Ho 3.17
Pd 0.2500 0.2500 0.2500 (multiplicity 4)  4 Gd 3.17, 4 Ho 3.17

Results
Uncorrected energy in eV for the cell shown: -123.23
Energy of formation from the pure elements in meV/atom: -738
Total moment in μB per cell: 28.9

A geometry-optimized Pm2GdHo structure, computed with PBE.

Lattice parameters (Å, degrees): 4.2010 4.2010 7.5478 90.00 90.00 90.00
With the nearest neighbours (Å) after each atom.
Space group P4/mmm (No. 123)
Inequivalent atoms, fractional coordinates:
Pm 0.0000 0.0000 0.2456 (multiplicity 2)  4 Ho 3.50, 4 Gd 3.54, 2 Pm 3.71-3.84
Gd 0.5000 0.5000 0.5000 (multiplicity 1)  8 Pm 3.54, 2 Ho 3.77
Ho 0.5000 0.5000 0.0000 (multiplicity 1)  8 Pm 3.50, 2 Gd 3.77

Results
Uncorrected energy in eV for the cell shown: -27.75
Energy of formation from the pure elements in meV/atom: 103
Relative energy among the computed polymorphs in eV/f.u.: 0.356
Total moment in μB per cell: 8.0

A geometry-optimized PmGd4Ho structure, computed with PBE.

Lattice parameters (Å, degrees): 9.3294 9.3294 9.3294 90.00 90.00 90.00
With the nearest neighbours (Å) after each atom.
Space group F-43m (No. 216)
Inequivalent atoms, fractional coordinates:
Pm 0.0000 0.0000 0.0000 (multiplicity 4)  12 Gd 3.87, 4 Ho 4.04
Gd 0.1247 0.1247 0.3753 (multiplicity 16)  6 Gd 3.29-3.31
Ho 0.2500 0.2500 0.7500 (multiplicity 4)  12 Gd 3.87, 4 Pm 4.04

Results
Uncorrected energy in eV for the cell shown: -256.44
Energy of formation from the pure elements in meV/atom: 257
Total moment in μB per cell: 114.1

Repeat the first record exactly.
A geometry-optimized GdHoSnPd structure, computed with PBE.

Lattice parameters (Å, degrees): 7.3127 7.3127 7.3127 90.00 90.00 90.00
With the nearest neighbours (Å) after each atom.
Space group F-43m (No. 216)
Inequivalent atoms, fractional coordinates:
Gd 0.0000 0.0000 0.0000 (multiplicity 4)  4 Sn 3.17, 4 Pd 3.17
Ho 0.0000 0.0000 0.5000 (multiplicity 4)  4 Sn 3.17, 4 Pd 3.17
Sn 0.2500 0.2500 0.7500 (multiplicity 4)  4 Gd 3.17, 4 Ho 3.17
Pd 0.2500 0.2500 0.2500 (multiplicity 4)  4 Gd 3.17, 4 Ho 3.17

Results
Uncorrected energy in eV for the cell shown: -123.23
Energy of formation from the pure elements in meV/atom: -738
Total moment in μB per cell: 28.9

Question: What is the energy of formation from the pure elements in the third record?
Answer: 257 meV/atom

Question: Which of these has the highest energy of formation from the pure elements?
Answer: PmGd4Ho